Record 1
! BaCd3Hg SCAN single point on PBEsol structure; values from VASP
! - Energy relative to the elements: -77 meV/atom
! - Final energy: -39.87 eV/atom
&SYSTEM
  ibrav = 0, nat = 5, ntyp = 3
/
ATOMIC_SPECIES
Ba 137.33 Ba.upf
Cd 112.41 Cd.upf
Hg 200.59 Hg.upf
CELL_PARAMETERS angstrom
5.3665 0.0000 0.0000
0.0000 5.3665 0.0000
0.0000 0.0000 5.3665
ATOMIC_POSITIONS angstrom
Ba 2.6832 2.6832 2.6832
Cd 2.6832 0.0000 0.0000
Cd 0.0000 0.0000 2.6832
Cd 0.0000 2.6832 0.0000
Hg 0.0000 0.0000 0.0000



Record 2
! BaCdHg4 SCAN single point on PBEsol structure; values from VASP
! - Energy relative to the elements: -285 meV/atom
! - Final energy: -57.39 eV/atom
&SYSTEM
  ibrav = 0, nat = 6, ntyp = 3
/
ATOMIC_SPECIES
Ba 137.33 Ba.upf
Hg 200.59 Hg.upf
Cd 112.41 Cd.upf
CELL_PARAMETERS angstrom
-3.3889 -0.4834 5.0248
1.3569 -4.1912 4.1904
2.2743 1.7011 5.3759
ATOMIC_POSITIONS angstrom
Ba 0.1817 -2.2302 10.9433
Hg 0.0907 -1.1130 5.4616
Hg -1.6131 -1.3561 7.9879
Hg 0.7729 -3.2202 7.5683
Hg 1.2341 -0.2578 8.1644
Cd 0.0000 0.0000 0.0000